1.
Compound: FeGeSbI2
Source: Alexandria
Functional: PBE-GGA
Structure: optimized geometry

Properties
Crystal system: tetragonal
Energy, eV per atom: -3.4585
Distance to the lowest polymorph of the same formula, meV per atom: 0
Energy relative to the elements, uncorrected, eV/atom: 0.60
N(E_F), states/eV/cell: 7.684

```
data_FeGeSbI2
_chemical_formula_sum 'Fe1 Ge1 Sb1 I2'
_cell_length_a 5.344
_cell_length_b 5.344
_cell_length_c 5.011
_cell_angle_alpha 90.00
_cell_angle_beta 90.00
_cell_angle_gamma 90.00
_space_group_name_H-M_alt 'P 4/m m m'
_space_group_IT_number 123
_space_group_name_Hall '-P 4 2'
loop_
_atom_site_label
_atom_site_type_symbol
_atom_site_fract_x
_atom_site_fract_y
_atom_site_fract_z
_atom_site_occupancy
Fe1 Fe 0.000 0.000 0.000 1
Ge1 Ge 0.500 0.500 0.500 1
Sb1 Sb 0.000 0.000 0.500 1
I1 I 0.000 0.500 0.000 1
```

2.
Compound: FeGeSbI2
Source: Alexandria
Functional: PBE-GGA
Structure: optimized geometry

Properties
Crystal system: tetragonal
Energy, eV per atom: -3.1410
Distance to the lowest polymorph of the same formula, meV per atom: 318
Energy relative to the elements, uncorrected, eV/atom: 0.92
N(E_F), states/eV/cell: 6.220

```
data_FeGeSbI2
_chemical_formula_sum 'Fe1 Ge1 Sb1 I2'
_cell_length_a 5.599
_cell_length_b 5.599
_cell_length_c 5.611
_cell_angle_alpha 90.00
_cell_angle_beta 90.00
_cell_angle_gamma 90.00
_space_group_name_H-M_alt 'P 4/m m m'
_space_group_IT_number 123
_space_group_name_Hall '-P 4 2'
loop_
_atom_site_label
_atom_site_type_symbol
_atom_site_fract_x
_atom_site_fract_y
_atom_site_fract_z
_atom_site_occupancy
Fe1 Fe 0.000 0.000 0.000 1
Ge1 Ge 0.500 0.500 0.500 1
Sb1 Sb 0.500 0.500 0.000 1
I1 I 0.000 0.500 0.500 1
```

3.
Compound: ScFeGeI2
Source: Alexandria
Functional: PBE-GGA
Structure: optimized geometry

Properties
Crystal system: tetragonal
Energy, eV per atom: -4.1382
Energy relative to the elements, uncorrected, eV/atom: 0.36
N(E_F), states/eV/cell: 5.585

```
data_ScFeGeI2
_chemical_formula_sum 'Sc1 Fe1 Ge1 I2'
_cell_length_a 5.293
_cell_length_b 5.293
_cell_length_c 4.442
_cell_angle_alpha 90.00
_cell_angle_beta 90.00
_cell_angle_gamma 90.00
_space_group_name_H-M_alt 'P 4/m m m'
_space_group_IT_number 123
_space_group_name_Hall '-P 4 2'
loop_
_atom_site_label
_atom_site_type_symbol
_atom_site_fract_x
_atom_site_fract_y
_atom_site_fract_z
_atom_site_occupancy
Sc1 Sc 0.000 0.000 0.000 1
Fe1 Fe 0.500 0.500 0.500 1
Ge1 Ge 0.500 0.500 0.000 1
I1 I 0.000 0.500 0.500 1
```

4.
Compound: FeSnGe2I
Source: Alexandria
Functional: PBE-GGA
Structure: optimized geometry

Properties
Crystal system: tetragonal
Energy, eV per atom: -3.3263
Energy relative to the elements, uncorrected, eV/atom: 1.32
N(E_F), states/eV/cell: 7.282

```
data_FeSnGe2I
_chemical_formula_sum 'Fe1 Sn1 Ge2 I1'
_cell_length_a 5.620
_cell_length_b 5.620
_cell_length_c 4.737
_cell_angle_alpha 90.00
_cell_angle_beta 90.00
_cell_angle_gamma 90.00
_space_group_name_H-M_alt 'P 4/m m m'
_space_group_IT_number 123
_space_group_name_Hall '-P 4 2'
loop_
_atom_site_label
_atom_site_type_symbol
_atom_site_fract_x
_atom_site_fract_y
_atom_site_fract_z
_atom_site_occupancy
Fe1 Fe 0.000 0.000 0.000 1
Sn1 Sn 0.500 0.500 0.000 1
Ge1 Ge 0.000 0.500 0.500 1
I1 I 0.000 0.000 0.500 1
```

5.
Compound: TaFeGeI2
Source: Alexandria
Functional: PBE-GGA
Structure: optimized geometry

Properties
Crystal system: tetragonal
Energy, eV per atom: -4.5126
Energy relative to the elements, uncorrected, eV/atom: 1.09
N(E_F), states/eV/cell: 8.577

```
data_TaFeGeI2
_chemical_formula_sum 'Ta1 Fe1 Ge1 I2'
_cell_length_a 5.501
_cell_length_b 5.501
_cell_length_c 5.144
_cell_angle_alpha 90.00
_cell_angle_beta 90.00
_cell_angle_gamma 90.00
_space_group_name_H-M_alt 'P 4/m m m'
_space_group_IT_number 123
_space_group_name_Hall '-P 4 2'
loop_
_atom_site_label
_atom_site_type_symbol
_atom_site_fract_x
_atom_site_fract_y
_atom_site_fract_z
_atom_site_occupancy
Ta1 Ta 0.000 0.000 0.000 1
Fe1 Fe 0.500 0.500 0.500 1
Ge1 Ge 0.000 0.000 0.500 1
I1 I 0.000 0.500 0.000 1
```

6.
Compound: FeGeTeI2
Source: Alexandria
Functional: PBE-GGA
Structure: optimized geometry

Properties
Crystal system: tetragonal
Energy, eV per atom: -3.0983
Distance to the lowest polymorph of the same formula, meV per atom: 199
Energy relative to the elements, uncorrected, eV/atom: 0.77
N(E_F), states/eV/cell: 7.909

```
data_FeGeTeI2
_chemical_formula_sum 'Fe1 Ge1 Te1 I2'
_cell_length_a 5.639
_cell_length_b 5.639
_cell_length_c 5.575
_cell_angle_alpha 90.00
_cell_angle_beta 90.00
_cell_angle_gamma 90.00
_space_group_name_H-M_alt 'P 4/m m m'
_space_group_IT_number 123
_space_group_name_Hall '-P 4 2'
loop_
_atom_site_label
_atom_site_type_symbol
_atom_site_fract_x
_atom_site_fract_y
_atom_site_fract_z
_atom_site_occupancy
Fe1 Fe 0.000 0.000 0.000 1
Ge1 Ge 0.500 0.500 0.500 1
Te1 Te 0.500 0.500 0.000 1
I1 I 0.000 0.500 0.500 1
```

7.
Compound: FeGeTeI2
Source: Alexandria
Functional: PBE-GGA
Structure: optimized geometry

Properties
Crystal system: tetragonal
Energy, eV per atom: -3.2969
Distance to the lowest polymorph of the same formula, meV per atom: 0
Energy relative to the elements, uncorrected, eV/atom: 0.57
N(E_F), states/eV/cell: 8.174

```
data_FeGeTeI2
_chemical_formula_sum 'Fe1 Ge1 Te1 I2'
_cell_length_a 5.299
_cell_length_b 5.299
_cell_length_c 4.925
_cell_angle_alpha 90.00
_cell_angle_beta 90.00
_cell_angle_gamma 90.00
_space_group_name_H-M_alt 'P 4/m m m'
_space_group_IT_number 123
_space_group_name_Hall '-P 4 2'
loop_
_atom_site_label
_atom_site_type_symbol
_atom_site_fract_x
_atom_site_fract_y
_atom_site_fract_z
_atom_site_occupancy
Fe1 Fe 0.000 0.000 0.000 1
Ge1 Ge 0.500 0.500 0.500 1
Te1 Te 0.000 0.000 0.500 1
I1 I 0.000 0.500 0.000 1
```

8.
Compound: ZrFeGe2I
Source: Alexandria
Functional: PBE-GGA
Structure: optimized geometry

Properties
Crystal system: tetragonal
Energy, eV per atom: -5.0484
Energy relative to the elements, uncorrected, eV/atom: 0.51
N(E_F), states/eV/cell: 5.572

```
data_ZrFeGe2I
_chemical_formula_sum 'Zr1 Fe1 Ge2 I1'
_cell_length_a 4.519
_cell_length_b 4.519
_cell_length_c 5.436
_cell_angle_alpha 90.00
_cell_angle_beta 90.00
_cell_angle_gamma 90.00
_space_group_name_H-M_alt 'P 4/m m m'
_space_group_IT_number 123
_space_group_name_Hall '-P 4 2'
loop_
_atom_site_label
_atom_site_type_symbol
_atom_site_fract_x
_atom_site_fract_y
_atom_site_fract_z
_atom_site_occupancy
Zr1 Zr 0.000 0.000 0.000 1
Fe1 Fe 0.500 0.500 0.500 1
Ge1 Ge 0.000 0.500 0.500 1
I1 I 0.500 0.500 0.000 1
```